RbHoBeS3 (PBE, optimized geometry); raw total energy = -5.18 eV per atom
1.0
1.932 -7.414 0.000
1.932 7.414 0.000
0.000 0.000 10.398
Rb Ho Be S
2 2 2 6
Cartesian
1.932 3.854 7.799
1.932 -3.854 2.600
1.932 0.000 0.000
1.932 0.000 5.199
1.932 6.831 2.600
1.932 -6.831 7.799
1.932 5.718 0.835
1.932 5.718 4.364
1.932 0.736 2.600
1.932 -0.736 7.799
1.932 -5.718 6.035
1.932 -5.718 9.563

---

RbPbW (PBE, optimized geometry); raw total energy = -4.13 eV per atom
1.0
0.000 3.659 3.659
3.659 0.000 3.659
3.659 3.659 0.000
Rb Pb W
1 1 1
Cartesian
0.000 0.000 0.000
3.659 3.659 3.659
5.489 5.489 5.489

---

Hf2TaCd (PBE, optimized geometry); formation enthalpy at 0 K = 0.293 eV per atom
1.0
0.000 3.428 3.428
3.428 0.000 3.428
3.428 3.428 0.000
Hf Ta Cd
2 1 1
Cartesian
0.000 0.000 0.000
1.714 1.714 1.714
3.428 3.428 3.428
5.142 5.142 5.142

---

MgZnCoTc (PBE, optimized geometry); raw total energy = -4.89 eV per atom
1.0
0.000 3.022 3.022
3.022 0.000 3.022
3.022 3.022 0.000
Mg Zn Co Tc
1 1 1 1
Cartesian
0.000 0.000 0.000
1.511 1.511 1.511
3.022 3.022 3.022
4.533 4.533 4.533

---

NdScRe (PBE, optimized geometry); formation enthalpy at 0 K = 1.258 eV per atom
1.0
0.000 3.321 3.321
3.321 0.000 3.321
3.321 3.321 0.000
Nd Sc Re
1 1 1
Cartesian
0.000 0.000 0.000
1.661 1.661 1.661
4.982 4.982 4.982

---

Zr2Ta (PBE, optimized geometry); formation enthalpy at 0 K = 2.869 eV per atom
1.0
0.000 5.793 5.793
5.793 0.000 5.793
5.793 5.793 0.000
Zr Ta
4 2
Cartesian
0.000 0.000 0.000
2.897 2.897 0.000
2.897 0.000 2.897
0.000 2.897 2.897
1.448 1.448 1.448
10.138 10.138 10.138

---

LiScBAu (PBE, optimized geometry); raw total energy = -4.55 eV per atom
1.0
0.000 3.031 3.031
3.031 0.000 3.031
3.031 3.031 0.000
Li Sc B Au
1 1 1 1
Cartesian
0.000 0.000 0.000
4.547 4.547 4.547
1.516 1.516 1.516
3.031 3.031 3.031

---

Tb3PbF2 (PBE, optimized geometry); raw total energy = -4.93 eV per atom
1.0
6.201 0.000 0.000
-3.100 5.370 0.000
0.000 0.000 3.571
Tb Pb F
3 1 2
Cartesian
-1.550 2.685 0.000
3.100 0.000 0.000
1.550 2.685 0.000
0.000 0.000 1.785
0.000 3.580 1.795
3.100 1.790 1.776